# V4CoNiO12, relaxed, DFT GGA+U
data_V4CoNiO12
_chemical_formula_sum 'V4 Co1 Ni1 O12'
_space_group_name_H-M_alt 'P 1'
_space_group_IT_number 1
_cell_length_a 5.870
_cell_length_b 6.783
_cell_length_c 6.797
_cell_angle_alpha 83.82
_cell_angle_beta 74.59
_cell_angle_gamma 74.46
loop_
_space_group_symop_operation_xyz
'x,y,z'
loop_
_atom_site_label
_atom_site_fract_x
_atom_site_fract_y
_atom_site_fract_z
V1 0.000 0.000 0.000
V2 0.009 0.411 0.407
V3 0.498 0.184 0.819
V4 0.510 0.593 0.225
Co1 0.003 0.882 0.528
Ni1 0.504 0.713 0.697
O1 0.026 0.178 0.524
O2 0.118 0.831 0.805
O3 0.199 0.169 0.963
O4 0.309 0.426 0.264
O5 0.394 0.763 0.419
O6 0.481 0.417 0.703
O7 0.526 0.710 0.993
O8 0.615 0.991 0.649
O9 0.700 0.144 0.986
O10 0.809 0.448 0.239
O11 0.888 0.605 0.577
O12 0.985 0.882 0.231
# - electronic total energy (eV/cell) = -127.28